## HfPa3Tl3Te8 (GGA-PBE)

Data for an optimized crystal structure of HfPa3Tl3Te8.

abc: 8.4336 8.4336 26.0643
angles: 90.00 90.00 120.00
Space group R-3m (No. 166, hexagonal axes)
Symmetry-distinct sites (fractional):
Hf (0.0000, 0.0000, 0.0000) (multiplicity 3)
Pa (0.0000, 0.5000, 0.0000) (multiplicity 9)
Tl (0.0000, 0.5000, 0.5000) (multiplicity 9)
Te (0.0000, 0.0000, 0.2590) (multiplicity 6)
Te (0.0158, 0.5079, 0.7369) (multiplicity 18)

Results
The value obtained for the spin magnetization is 0.379 μB per atom. Its formation energy from raw total energies is -9.72 eV per formula unit.

---

## CrGaMo2H (GGA-PBE)

Data for an optimized crystal structure of CrGaMo2H.

abc: 4.052 4.052 3.702
angles: 90.00 90.00 90.00
Space group P4/mmm (No. 123)
Symmetry-distinct sites (fractional):
Cr (0.000, 0.000, 0.000) (multiplicity 1)
Ga (0.500, 0.500, 0.000) (multiplicity 1)
Mo (0.000, 0.500, 0.500) (multiplicity 2)
H (0.000, 0.000, 0.500) (multiplicity 1)

Results
The value obtained for the spin magnetization is 0.143 μB per atom.

---

no.,total DFT energy (no corrections) (eV per cell)
1,-241.17
2,-37.26